# TmMgP2

TmMgP2 after structural relaxation (GGA-PBE, Alexandria).

The space group is R-3m (No. 166, hexagonal axes) and the conventional cell measures 3.9360, 3.9360 and 18.4727 Å, with angles of 90.00, 90.00 and 120.00 degrees. The distinct sites, in fractional coordinates, are Tm at (0.0000, 0.0000, 0.0000), Mg at (0.0000, 0.0000, 0.5000) and P at (0.0000, 0.0000, 0.2480).

Its volume is 247.8 Å³ per cell. For the formation energy, the calculation gives -0.863 eV/atom.

---

# Pm3GePd2

Pm3GePd2 after structural relaxation (GGA-PBE, Alexandria).

The space group is P-3m1 (No. 164) and the conventional cell measures 5.0756, 5.0756 and 6.4265 Å, with angles of 90.00, 90.00 and 120.00 degrees. The distinct sites, in fractional coordinates, are Pm at (0.0000, 0.0000, 0.0000), Pm at (0.3333, 0.6667, 0.6701), Ge at (0.0000, 0.0000, 0.5000) and Pd at (0.3333, 0.6667, 0.1430).

Its volume is 143.4 Å³ per cell. For the formation energy, the calculation gives -0.758 eV/atom.

---

# HoZrCuRu

HoZrCuRu after structural relaxation (GGA-PBE, Alexandria).

The space group is F-43m (No. 216) and the conventional cell measures 6.6989, 6.6989 and 6.6989 Å, with angles of 90.00, 90.00 and 90.00 degrees. The distinct sites, in fractional coordinates, are Ho at (0.0000, 0.0000, 0.0000), Zr at (0.0000, 0.0000, 0.5000), Cu at (0.2500, 0.2500, 0.7500) and Ru at (0.2500, 0.2500, 0.2500).

Its volume is 300.6 Å³ per cell. For the formation energy, the calculation gives -0.320 eV/atom.

---

# Li2Sn4Ir

Li2Sn4Ir after structural relaxation (GGA-PBE, Alexandria).

The space group is I4/mmm (No. 139) and the conventional cell measures 5.1614, 5.1614 and 13.7926 Å, with angles of 90.00, 90.00 and 90.00 degrees. The distinct sites, in fractional coordinates, are Li at (0.0000, 0.0000, 0.1120), Sn at (0.0000, 0.0000, 0.3022), Sn at (0.0000, 0.5000, 0.0000) and Ir at (0.0000, 0.0000, 0.5000).

Its volume is 367.4 Å³ per cell. For the formation energy, the calculation gives 0.062 eV/atom.

---

# Zr3AsH2

Zr3AsH2 after structural relaxation (GGA-PBE, Alexandria).

The space group is P2_1/m (No. 11) and the conventional cell measures 5.6958, 3.4963 and 9.5683 Å, with angles of 90.00, 95.75 and 90.00 degrees. The distinct sites, in fractional coordinates, are Zr at (0.0973, 0.2500, 0.3057), Zr at (0.2287, 0.2500, 0.9415), Zr at (0.3350, 0.2500, 0.6140), As at (0.3464, 0.7500, 0.1586), H at (0.0441, 0.7500, 0.9041) and H at (0.4480, 0.2500, 0.4125).

Its volume is 189.6 Å³ per cell. The total energy is -6.6618 eV per atom.